Here is an optimized crystal structure of K2MoAuF from Alexandria via LeMat-Bulk. Energies are from PBE with a Hubbard U.

Output
- SG = No. 123
- uncorrected energy (eV per atom) = -3.2346
- DOS(E_F) (states/eV/atom) = 0.397

Lattice parameters (Å, degrees): 4.7795 6.4096 4.7795 90.00 90.00 90.00
Last column: nearest neighbours and their distance in Å.
Fractional positions:
K (0.5000, 0.0000, 0.0000)  2 F 2.39
K (0.0000, 0.0000, 0.5000)  2 F 2.39
F (0.0000, 0.0000, 0.0000)  4 K 2.39
Au (0.0000, 0.5000, 0.0000)  2 F 3.20, 4 Mo 3.38
Mo (0.5000, 0.5000, 0.5000)  4 Au 3.38